Here is a PBEsol-optimized structure of CuSe3I from Alexandria. Energies are from meta-GGA SCAN.

Values from the calculation:
SG: R-3m
Formation energy without anion corrections (eV/atom): -0.10

Geometry as extended XYZ:
```
30
Lattice="6.951 4.013 4.670 -6.951 4.013 4.670 0.000 -8.026 4.670" Properties=species:S:1:pos:R:3 pbc="T T T"
Cu 0.000 -3.984 3.785
Cu -3.450 1.992 3.785
Cu -3.450 -1.992 10.224
Cu 3.450 1.992 3.785
Cu 3.450 -1.992 10.224
Cu 0.000 3.984 10.224
Se -1.869 -1.079 4.202
Se 0.000 -5.887 5.232
Se -5.099 2.944 5.232
Se -5.099 -2.944 8.778
Se 0.000 -2.107 5.273
Se -1.825 1.053 5.273
Se 1.869 -1.079 4.202
Se 0.000 2.158 4.202
Se -1.825 -1.053 8.736
Se 1.825 1.053 5.273
Se 0.000 -2.158 9.807
Se -1.869 1.079 9.807
Se 1.825 -1.053 8.736
Se 0.000 2.107 8.736
Se 5.099 2.944 5.232
Se 5.099 -2.944 8.778
Se 0.000 5.887 8.778
Se 1.869 1.079 9.807
I -2.389 -4.138 7.005
I -4.778 0.000 7.005
I 2.389 -4.138 7.005
I -2.389 4.138 7.005
I 4.778 0.000 7.005
I 2.389 4.138 7.005
```